# 1
VASP calculation (PBEsol) on Li2AsAu after structural relaxation.

- electronic total energy (eV per atom) = -3.744
- ΔH_f (0 K) (eV/atom) = -0.5031

a b c (Å): 5.568 7.502 2.857
angles (deg): 90.00 90.00 90.00
Sites, in units of the cell vectors:
Li (0.250, 0.250, 0.000)
Li (0.250, 0.750, 0.000)
Li (0.750, 0.250, 0.000)
Li (0.750, 0.750, 0.000)
As (0.000, 0.000, 0.500)
As (0.500, 0.500, 0.500)
Au (0.000, 0.500, 0.500)
Au (0.500, 0.000, 0.500)

=====

# 2
VASP calculation (PBEsol) on Cu2GeBi after structural relaxation.

- electronic total energy (eV per atom) = -4.151
- ΔH_f (0 K) (eV/atom) = 0.3224

a b c (Å): 6.556 6.556 6.556
angles (deg): 90.00 90.00 90.00
Sites, in units of the cell vectors:
Cu (0.250, 0.250, 0.250)
Cu (0.250, 0.250, 0.750)
Cu (0.250, 0.750, 0.250)
Cu (0.250, 0.750, 0.750)
Cu (0.750, 0.250, 0.250)
Cu (0.750, 0.250, 0.750)
Cu (0.750, 0.750, 0.250)
Cu (0.750, 0.750, 0.750)
Ge (0.000, 0.000, 0.000)
Ge (0.000, 0.500, 0.500)
Ge (0.500, 0.000, 0.500)
Ge (0.500, 0.500, 0.000)
Bi (0.000, 0.000, 0.500)
Bi (0.000, 0.500, 0.000)
Bi (0.500, 0.000, 0.000)
Bi (0.500, 0.500, 0.500)

=====

# 3
VASP calculation (PBEsol) on YMnSe2 after structural relaxation.

- ΔE_f (raw) (meV per atom) = -733
- electronic total energy (eV per atom) = -6.804

a b c (Å): 3.862 3.862 11.210
angles (deg): 90.00 90.00 90.00
Sites, in units of the cell vectors:
Y (0.000, 0.000, 0.000)
Y (0.500, 0.500, 0.500)
Mn (0.000, 0.500, 0.250)
Mn (0.500, 0.000, 0.750)
Se (0.000, 0.000, 0.500)
Se (0.000, 0.500, 0.750)
Se (0.500, 0.000, 0.250)
Se (0.500, 0.500, 0.000)

=====

# 4
VASP calculation (PBEsol) on Fe3H4O2F8 after structural relaxation.

- electronic total energy (eV per atom) = -5.615

a b c (Å): 5.236 5.236 7.299
angles (deg): 108.42 108.42 88.85
Sites, in units of the cell vectors:
Fe (0.000, 0.000, 0.000)
Fe (0.000, 0.500, 0.500)
Fe (0.500, 0.000, 0.500)
H (0.164, 0.385, 0.878)
H (0.385, 0.164, 0.878)
H (0.615, 0.836, 0.122)
H (0.836, 0.615, 0.122)
O (0.228, 0.228, 0.924)
O (0.772, 0.772, 0.076)
F (0.062, 0.658, 0.803)
F (0.186, 0.814, 0.500)
F (0.339, 0.339, 0.568)
F (0.342, 0.938, 0.197)
F (0.658, 0.062, 0.803)
F (0.661, 0.661, 0.432)
F (0.814, 0.186, 0.500)
F (0.938, 0.342, 0.197)

=====

# 5
VASP calculation (PBEsol) on MgTlBF2 after structural relaxation.

- ΔE_f (raw) (meV per atom) = -1131
- electronic total energy (eV per atom) = -4.175

a b c (Å): 3.736 3.736 5.521
angles (deg): 90.00 90.00 90.00
Sites, in units of the cell vectors:
Mg (0.000, 0.000, 0.000)
Tl (0.500, 0.500, 0.500)
B (0.000, 0.000, 0.500)
F (0.000, 0.500, 0.000)
F (0.500, 0.000, 0.000)

=====

# 6
VASP calculation (PBEsol) on YCdTc after structural relaxation.

- polymorph energy (0 for the lowest one) (eV/atom) = 0.000
- electronic total energy (eV per atom) = -6.153
- ΔH_f (0 K) (eV/atom) = 0.2754

a b c (Å): 4.874 4.874 2.832
angles (deg): 90.00 90.00 120.00
Sites, in units of the cell vectors:
Y (0.000, 0.000, 0.000)
Cd (0.333, 0.667, 0.577)
Tc (0.667, 0.333, 0.360)

=====

> The highest electronic total energy belongs to which entry?

Li2AsAu

=====

> The lowest electronic total energy belongs to which entry?

YMnSe2

=====

What did the fourth record say?
VASP calculation (PBEsol) on Fe3H4O2F8 after structural relaxation.

- electronic total energy (eV per atom) = -5.615

a b c (Å): 5.236 5.236 7.299
angles (deg): 108.42 108.42 88.85
Sites, in units of the cell vectors:
Fe (0.000, 0.000, 0.000)
Fe (0.000, 0.500, 0.500)
Fe (0.500, 0.000, 0.500)
H (0.164, 0.385, 0.878)
H (0.385, 0.164, 0.878)
H (0.615, 0.836, 0.122)
H (0.836, 0.615, 0.122)
O (0.228, 0.228, 0.924)
O (0.772, 0.772, 0.076)
F (0.062, 0.658, 0.803)
F (0.186, 0.814, 0.500)
F (0.339, 0.339, 0.568)
F (0.342, 0.938, 0.197)
F (0.658, 0.062, 0.803)
F (0.661, 0.661, 0.432)
F (0.814, 0.186, 0.500)
F (0.938, 0.342, 0.197)

=====

> electronic total energy of number 4 (Fe3H4O2F8)?

-5.615 eV per atom